Entry from Alexandria via LeMat-Bulk: a relaxed structure of YPa2MnC4 (PBE-GGA).

The structure in POSCAR format:
```
YPa2MnC4
1.0
1.771 -5.720 0.000
1.771 5.720 0.000
0.000 0.000 11.990
Y Pa Mn C
2 4 2 8
direct
0.112 0.888 0.750 Y
0.888 0.112 0.250 Y
0.366 0.634 0.548 Pa
0.366 0.634 0.952 Pa
0.634 0.366 0.048 Pa
0.634 0.366 0.452 Pa
0.159 0.841 0.250 Mn
0.841 0.159 0.750 Mn
0.000 0.000 0.000 C
0.000 0.000 0.500 C
0.263 0.737 0.131 C
0.263 0.737 0.369 C
0.412 0.588 0.750 C
0.588 0.412 0.250 C
0.737 0.263 0.631 C
0.737 0.263 0.869 C
```

VASP energy = -9.12 eV per atom

---

Entry from Alexandria via LeMat-Bulk: a relaxed structure of Ta2VTc3 (PBE-GGA).

The structure in POSCAR format:
```
Ta2VTc3
1.0
3.143 0.000 0.000
0.000 3.143 0.000
0.000 0.000 9.392
Ta V Tc
2 1 3
direct
0.000 0.000 0.171 Ta
0.000 0.000 0.829 Ta
0.000 0.000 0.500 V
0.500 0.500 0.000 Tc
0.500 0.500 0.342 Tc
0.500 0.500 0.658 Tc
```

VASP energy = -11.08 eV per atom

---

Entry from Alexandria via LeMat-Bulk: a relaxed structure of ZrPaH (PBE-GGA).

The structure in POSCAR format:
```
ZrPaH
1.0
3.220 0.000 0.000
-1.610 2.788 0.000
0.000 0.000 5.670
Zr Pa H
1 1 1
direct
0.000 0.000 0.000 Zr
0.333 0.667 0.512 Pa
0.667 0.333 0.217 H
```

distance to the lowest polymorph of the same formula = 0.0 meV/atom

---

Entry from Alexandria via LeMat-Bulk: a relaxed structure of GaPd8Au5 (PBE-GGA).

The structure in POSCAR format:
```
GaPd8Au5
1.0
-3.880 3.880 3.998
3.880 -3.880 3.998
3.880 3.880 -3.998
Ga Pd Au
1 8 5
direct
0.000 0.000 0.000 Ga
0.143 0.410 0.072 Pd
0.338 0.071 0.928 Pd
0.417 0.153 0.394 Pd
0.590 0.662 0.734 Pd
0.759 0.023 0.606 Pd
0.847 0.241 0.264 Pd
0.929 0.857 0.266 Pd
0.977 0.583 0.736 Pd
0.210 0.303 0.673 Au
0.250 0.750 0.500 Au
0.463 0.790 0.092 Au
0.629 0.537 0.327 Au
0.697 0.371 0.908 Au
```

VASP energy = -4.42 eV per atom

---

Entry from Alexandria via LeMat-Bulk: a relaxed structure of ZnCoTc (PBE-GGA).

The structure in POSCAR format:
```
ZnCoTc
1.0
2.651 0.000 0.000
0.000 3.539 0.000
0.000 0.000 8.257
Zn Co Tc
2 2 2
direct
0.000 0.000 0.000 Zn
0.500 0.500 0.500 Zn
0.000 0.000 0.665 Co
0.500 0.500 0.165 Co
0.000 0.000 0.317 Tc
0.500 0.500 0.817 Tc
```

distance to the lowest polymorph of the same formula = 110.3 meV/atom

---

Entry from Alexandria via LeMat-Bulk: a relaxed structure of LaPtO2F (PBE-GGA).

The structure in POSCAR format:
```
LaPtO2F
1.0
4.120 0.000 0.000
0.000 4.120 0.000
0.000 0.000 4.365
La Pt O F
1 1 2 1
direct
0.000 0.000 0.000 La
0.500 0.500 0.500 Pt
0.000 0.500 0.500 O
0.500 0.000 0.500 O
0.500 0.500 0.000 F
```

uncorrected formation energy = -7.611 eV per formula unit

---

Entry from Alexandria via LeMat-Bulk: a relaxed structure of Ba2MgAs2 (PBE-GGA).

The structure in POSCAR format:
```
Ba2MgAs2
1.0
9.835 0.000 0.000
0.000 8.242 0.000
-1.217 0.000 8.135
Ba Mg As
8 4 8
direct
0.081 0.227 0.029 Ba
0.081 0.273 0.529 Ba
0.332 0.652 0.946 Ba
0.332 0.848 0.446 Ba
0.668 0.152 0.554 Ba
0.668 0.348 0.054 Ba
0.919 0.727 0.471 Ba
0.919 0.773 0.971 Ba
0.382 0.083 0.850 Mg
0.382 0.417 0.350 Mg
0.618 0.583 0.650 Mg
0.618 0.917 0.150 Mg
0.137 0.562 0.248 As
0.137 0.938 0.748 As
0.412 0.133 0.186 As
0.412 0.367 0.686 As
0.588 0.633 0.314 As
0.588 0.867 0.814 As
0.863 0.062 0.252 As
0.863 0.438 0.752 As
```

VASP energy = -3.99 eV per atom

---

Entry from Alexandria via LeMat-Bulk: a relaxed structure of Sm2IrSe (PBE-GGA).

The structure in POSCAR format:
```
Sm2IrSe
1.0
3.549 0.000 0.000
0.000 3.549 0.000
0.000 0.000 7.331
Sm Ir Se
2 1 1
direct
0.000 0.000 0.234 Sm
0.000 0.000 0.766 Sm
0.500 0.500 0.000 Ir
0.500 0.500 0.500 Se
```

uncorrected formation energy = -4.393 eV per formula unit
distance to the lowest polymorph of the same formula = 123.6 meV/atom

---

no.,magnetic moment (μB/atom)
1,0.07
2,0.00
3,0.00
4,0.00
5,0.00
6,0.05
7,0.00
8,0.00